# K3Os, relaxed, DFT PBE
# formation enthalpy at 0 K = 1234 meV per atom
# offset from the most stable computed form = 0.000 eV/atom
data_K3Os
_chemical_formula_sum 'K3 Os1'
_space_group_name_H-M_alt 'P 1 2/m 1'
_space_group_IT_number 10
_space_group_name_Hall '-P 2y'
_cell_length_a 2.862
_cell_length_b 5.648
_cell_length_c 7.528
_cell_angle_alpha 90.00
_cell_angle_beta 91.41
_cell_angle_gamma 90.00
loop_
_atom_site_label
_atom_site_fract_x
_atom_site_fract_y
_atom_site_fract_z
_atom_site_occupancy
K1 0.000 0.000 0.000 1
K2 0.016 0.500 0.703 1
Os1 0.500 0.000 0.500 1

# Fe2NiCl, relaxed, DFT PBE
# uncorrected formation energy = 1.034 eV/atom
# offset from the most stable computed form = 0.905 eV/atom
data_Fe2NiCl
_chemical_formula_sum 'Fe8 Ni4 Cl4'
_space_group_name_H-M_alt 'I -4 2 d'
_space_group_IT_number 122
_space_group_name_Hall 'I -4 2bw'
_cell_length_a 4.954
_cell_length_b 4.954
_cell_length_c 10.135
_cell_angle_alpha 90.00
_cell_angle_beta 90.00
_cell_angle_gamma 90.00
loop_
_atom_site_label
_atom_site_fract_x
_atom_site_fract_y
_atom_site_fract_z
_atom_site_occupancy
Fe1 0.231 0.250 0.125 1
Ni1 0.000 0.000 0.500 1
Cl1 0.000 0.000 0.000 1

# Zr2Tl, relaxed, DFT PBE
# formation enthalpy at 0 K = 386 meV per atom
data_Zr2Tl
_chemical_formula_sum 'Zr2 Tl1'
_space_group_name_H-M_alt 'P 4/m m m'
_space_group_IT_number 123
_space_group_name_Hall '-P 4 2'
_cell_length_a 4.416
_cell_length_b 4.416
_cell_length_c 4.089
_cell_angle_alpha 90.00
_cell_angle_beta 90.00
_cell_angle_gamma 90.00
loop_
_atom_site_label
_atom_site_fract_x
_atom_site_fract_y
_atom_site_fract_z
_atom_site_occupancy
Zr1 0.000 0.500 0.000 1
Tl1 0.000 0.000 0.500 1

# TbCeHo2Hg4, relaxed, DFT PBE
# formation enthalpy at 0 K = -422 meV per atom
data_TbCeHo2Hg4
_chemical_formula_sum 'Tb3 Ce3 Ho6 Hg12'
_space_group_name_H-M_alt 'R -3 m'
_space_group_IT_number 166
_space_group_name_Hall '-R 3 2"'
_cell_length_a 5.2942
_cell_length_b 5.2942
_cell_length_c 26.0460
_cell_angle_alpha 90.00
_cell_angle_beta 90.00
_cell_angle_gamma 120.00
loop_
_atom_site_label
_atom_site_fract_x
_atom_site_fract_y
_atom_site_fract_z
_atom_site_occupancy
Tb1 0.0000 0.0000 0.0000 1
Ce1 0.0000 0.0000 0.5000 1
Ho1 0.0000 0.0000 0.2496 1
Hg1 0.0000 0.0000 0.1226 1
Hg2 0.0000 0.0000 0.3732 1

# RbHfC3, relaxed, DFT PBE
# formation enthalpy at 0 K = 1707 meV per atom
# offset from the most stable computed form = 0.000 eV/atom
data_RbHfC3
_chemical_formula_sum 'Rb1 Hf1 C3'
_space_group_name_H-M_alt 'P m -3 m'
_space_group_IT_number 221
_space_group_name_Hall '-P 4 2 3'
_cell_length_a 4.471
_cell_length_b 4.471
_cell_length_c 4.471
_cell_angle_alpha 90.00
_cell_angle_beta 90.00
_cell_angle_gamma 90.00
loop_
_atom_site_label
_atom_site_fract_x
_atom_site_fract_y
_atom_site_fract_z
_atom_site_occupancy
Rb1 0.000 0.000 0.000 1
Hf1 0.500 0.500 0.500 1
C1 0.000 0.500 0.500 1

# CaTlTe2Se, relaxed, DFT PBE
# uncorrected formation energy = -0.229 eV/atom
data_CaTlTe2Se
_chemical_formula_sum 'Ca1 Tl1 Te2 Se1'
_space_group_name_H-M_alt 'P 4/m m m'
_space_group_IT_number 123
_space_group_name_Hall '-P 4 2'
_cell_length_a 5.941
_cell_length_b 5.941
_cell_length_c 5.513
_cell_angle_alpha 90.00
_cell_angle_beta 90.00
_cell_angle_gamma 90.00
loop_
_atom_site_label
_atom_site_fract_x
_atom_site_fract_y
_atom_site_fract_z
_atom_site_occupancy
Ca1 0.000 0.000 0.000 1
Tl1 0.500 0.500 0.500 1
Te1 0.000 0.500 0.000 1
Se1 0.000 0.000 0.500 1